Entry 1:
# Ca2TcAs

A geometry-optimized Ca2TcAs structure (PBE, Alexandria).

As for the space group: P4mm. The total magnetic moment comes out at 0.000 μB per atom. The value obtained for the energy of formation from the pure elements is -237 meV per atom.

Cell and atoms, written as POSCAR:
```
Ca2TcAs
1.0
3.3593 0.0000 0.0000
0.0000 3.3593 0.0000
0.0000 0.0000 8.4552
Ca As Tc
2 1 1
Direct
0.5000 0.5000 0.3198
0.0000 0.0000 0.9251
0.5000 0.5000 0.6874
0.0000 0.0000 0.5677
```



Entry 2:
# ZnCl3

A geometry-optimized ZnCl3 structure (PBE, Alexandria).

As for the space group: Imm2. The total magnetic moment comes out at 0.082 μB per atom. As for the uncorrected formation energy: -0.52 eV/atom.

Cell and atoms, written as POSCAR:
```
ZnCl3
1.0
6.9393 -0.0233 0.0494
2.8695 6.3182 -0.0494
-3.5129 -5.3156 2.7495
Zn Cl
1 3
Direct
0.4586 0.7500 0.7086
0.7431 0.2500 0.4931
0.4625 0.3966 0.0658
0.1692 0.1034 0.0658
```



Entry 3:
# Th2PaCrC4

A geometry-optimized Th2PaCrC4 structure (PBE, Alexandria).

As for the space group: Cmcm. The total magnetic moment comes out at 0.000 μB per atom. The value obtained for the energy of formation from the pure elements is -23 meV per atom.

Cell and atoms, written as POSCAR:
```
Th2PaCrC4
1.0
3.5137 0.0000 0.0000
-1.7568 5.8654 0.0000
0.0000 0.0000 12.6224
Th C Pa Cr
4 8 2 2
Direct
0.6362 0.2725 0.0463
0.3638 0.7275 0.5463
0.6362 0.2725 0.4537
0.3638 0.7275 0.9537
0.0000 0.0000 0.0000
0.4289 0.8578 0.7500
0.2799 0.5598 0.3566
0.0000 0.0000 0.5000
0.5711 0.1422 0.2500
0.7201 0.4402 0.8566
0.7201 0.4402 0.6434
0.2799 0.5598 0.1434
0.9109 0.8218 0.2500
0.0891 0.1782 0.7500
0.8242 0.6483 0.7500
0.1758 0.3517 0.2500
```



| no. | total DFT energy (no corrections) (eV/atom) |
| --- | --- |
| 1 | -4.992 |
| 2 | -2.223 |
| 3 | -8.879 |